4
Lattice="-5.942 1.413 1.671 -3.127 -4.847 2.612 5.647 2.689 0.992" Properties=species:S:1:pos:R:3 comment="Ca2YCd PBE optimized geometry" e_form_ev_per_atom=-0.0075 space_group="I4/mmm (139)" total_magnetization_mub_per_cell=0.00 n_ef_per_ev_cell=5.39 e_tot_ev_per_fu=-11.412 pbc="T T T"
Y -2.415 1.192 2.402
Ca 0.000 0.000 0.000
Ca -4.534 -1.717 2.142
Cd -1.007 -1.938 2.873